[1]
A plane-wave DFT calculation with GGA-PBE was carried out for a geometry-optimized CdGa2RuO8 structure.

Lattice parameters (Å, degrees): 4.669 4.652 6.354 90.00 90.00 91.31
Element x y z (fractional)
Cd1 0.000 0.000 0.500
Ga1 0.500 0.500 0.750
Ga2 0.500 0.500 0.250
Ru1 0.000 0.000 0.000
O1 0.197 0.799 0.209
O2 0.698 0.701 0.000
O3 0.803 0.201 0.209
O4 0.803 0.201 0.791
O5 0.302 0.299 0.000
O6 0.197 0.799 0.791
O7 0.677 0.681 0.500
O8 0.323 0.319 0.500

Summary:
E_tot = -5.677 eV/atom
formation energy (no corrections) = -1.0175 eV/atom
spin magnetization = 0.0000 μB per atom


[2]
A plane-wave DFT calculation with GGA-PBE was carried out for a geometry-optimized Cd2GaSbO6 structure.

Lattice parameters (Å, degrees): 5.490 5.490 5.568 60.46 60.46 60.00
Element x y z (fractional)
Cd1 0.551 0.551 0.348
Cd2 0.049 0.049 0.852
Ga1 0.813 0.813 0.560
Sb1 0.316 0.316 0.052
O1 0.579 0.166 0.284
O2 0.166 0.971 0.284
O3 0.971 0.579 0.284
O4 0.469 0.666 0.783
O5 0.666 0.082 0.783
O6 0.082 0.469 0.783

Summary:
E_tot = -5.238 eV/atom
formation energy (no corrections) = -1.3656 eV/atom
spin magnetization = 0.0000 μB per atom


[3]
A plane-wave DFT calculation with GGA-PBE was carried out for a geometry-optimized CdGaSbO6 structure.

Lattice parameters (Å, degrees): 5.347 5.347 9.198 90.00 90.00 120.00
Each line ends with the local moment (μB).
Element x y z (fractional)
Cd1 0.000 0.000 0.000  0.05
Cd2 0.000 0.000 0.500  0.05
Ga1 0.667 0.333 0.250  -0.01
Ga2 0.333 0.667 0.750  -0.01
Sb1 0.333 0.667 0.250  -0.03
Sb2 0.667 0.333 0.750  -0.03
O1 0.637 0.636 0.135  0.29
O2 0.999 0.363 0.135  0.29
O3 0.363 0.999 0.635  0.29
O4 0.001 0.637 0.865  0.29
O5 0.364 0.363 0.365  0.29
O6 0.999 0.636 0.365  0.29
O7 0.636 0.999 0.865  0.29
O8 0.637 0.001 0.365  0.29
O9 0.001 0.364 0.635  0.29
O10 0.364 0.001 0.135  0.29
O11 0.636 0.637 0.635  0.29
O12 0.363 0.364 0.865  0.29

Summary:
E_tot = -5.280 eV/atom
formation energy (no corrections) = -1.0782 eV/atom
spin magnetization = 0.2251 μB per atom


[4]
A plane-wave DFT calculation with GGA-PBE was carried out for a geometry-optimized CdGa2SbO6 structure.

Lattice parameters (Å, degrees): 5.573 6.951 6.951 87.69 83.30 83.30
Element x y z (fractional)
Cd1 0.250 0.913 0.087
Cd2 0.750 0.087 0.913
Ga1 0.214 0.786 0.601
Ga2 0.286 0.399 0.214
Ga3 0.786 0.214 0.399
Ga4 0.714 0.601 0.786
Sb1 0.250 0.281 0.719
Sb2 0.750 0.719 0.281
O1 0.148 0.997 0.770
O2 0.352 0.230 0.003
O3 0.852 0.003 0.230
O4 0.648 0.770 0.997
O5 0.404 0.846 0.376
O6 0.096 0.624 0.154
O7 0.596 0.154 0.624
O8 0.904 0.376 0.846
O9 0.898 0.718 0.573
O10 0.602 0.427 0.282
O11 0.102 0.282 0.427
O12 0.398 0.573 0.718

Summary:
E_tot = -5.573 eV/atom
formation energy (no corrections) = -1.4892 eV/atom
spin magnetization = 0.0000 μB per atom


[5]
A plane-wave DFT calculation with GGA-PBE was carried out for a geometry-optimized CdGa2SbO8 structure.

Lattice parameters (Å, degrees): 5.818 5.818 5.818 109.25 109.25 109.91
Each line ends with the local moment (μB).
Element x y z (fractional)
Cd1 0.000 0.000 0.000  0.10
Ga1 0.750 0.250 0.500  0.01
Ga2 0.500 0.500 0.000  -0.01
Sb1 0.250 0.750 0.500  -0.03
O1 0.363 0.035 0.328  0.40
O2 0.314 0.518 0.204  0.23
O3 0.314 0.110 0.796  0.23
O4 0.707 0.035 0.672  0.40
O5 0.890 0.686 0.204  0.23
O6 0.965 0.293 0.328  0.40
O7 0.965 0.637 0.672  0.40
O8 0.482 0.686 0.796  0.23

Summary:
E_tot = -5.133 eV/atom
formation energy (no corrections) = -0.9035 eV/atom
spin magnetization = 0.2458 μB per atom


[6]
A plane-wave DFT calculation with GGA-PBE was carried out for a geometry-optimized Sc4CdGaO structure.

Lattice parameters (Å, degrees): 6.093 6.095 7.968 90.00 112.48 90.00
Element x y z (fractional)
Sc1 0.922 0.250 0.844
Sc2 0.414 0.750 0.829
Sc3 0.078 0.750 0.156
Sc4 0.586 0.250 0.171
Sc5 0.500 0.500 0.500
Sc6 0.000 0.000 0.500
Sc7 0.500 0.000 0.500
Sc8 0.000 0.500 0.500
Cd1 0.610 0.750 0.221
Cd2 0.390 0.250 0.779
Ga1 0.117 0.250 0.234
Ga2 0.883 0.750 0.766
O1 0.251 0.750 0.501
O2 0.749 0.250 0.499

Summary:
E_tot = -5.955 eV/atom
formation energy (no corrections) = -1.0652 eV/atom
spin magnetization = 0.0000 μB per atom


[7]
A plane-wave DFT calculation with GGA-PBE was carried out for a geometry-optimized CdGaSeO5 structure.

Lattice parameters (Å, degrees): 5.624 5.624 7.400 106.88 106.88 100.37
Element x y z (fractional)
Cd1 0.314 0.686 0.250
Cd2 0.686 0.314 0.750
Ga1 0.000 0.000 0.500
Ga2 0.000 0.000 0.000
Se1 0.694 0.306 0.250
Se2 0.306 0.694 0.750
O1 0.052 0.948 0.250
O2 0.948 0.052 0.750
O3 0.890 0.337 0.085
O4 0.110 0.663 0.915
O5 0.663 0.110 0.415
O6 0.337 0.890 0.585
O7 0.743 0.617 0.408
O8 0.257 0.383 0.592
O9 0.383 0.257 0.092
O10 0.617 0.743 0.908

Summary:
E_tot = -5.004 eV/atom
formation energy (no corrections) = -0.9767 eV/atom
spin magnetization = 0.0000 μB per atom


[8]
A plane-wave DFT calculation with GGA-PBE was carried out for a geometry-optimized CdGa2SeO6 structure.

Lattice parameters (Å, degrees): 6.229 6.764 6.764 95.13 75.67 75.67
Element x y z (fractional)
Cd1 0.250 0.899 0.101
Cd2 0.750 0.101 0.899
Ga1 0.333 0.717 0.552
Ga2 0.167 0.448 0.283
Ga3 0.667 0.283 0.448
Ga4 0.833 0.552 0.717
Se1 0.250 0.221 0.779
Se2 0.750 0.779 0.221
O1 0.195 0.975 0.781
O2 0.305 0.219 0.025
O3 0.805 0.025 0.219
O4 0.695 0.781 0.975
O5 0.413 0.888 0.354
O6 0.087 0.646 0.112
O7 0.587 0.112 0.646
O8 0.913 0.354 0.888
O9 0.044 0.673 0.563
O10 0.456 0.437 0.327
O11 0.956 0.327 0.437
O12 0.544 0.563 0.673

Summary:
E_tot = -5.322 eV/atom
formation energy (no corrections) = -1.3018 eV/atom
spin magnetization = 0.0000 μB per atom